No. 1
Compound: La2Ho3Er7
Source: the Alexandria database
Functional: PBE
Structure: relaxed

## Properties
ΔE to the lowest computed polymorph   0.000 eV per atom
Formation enthalpy at 0 K   0.0893 eV/atom
SG   P2/m, No. 10
Size of the total moment   0.0 μB per cell

```
La2Ho3Er7
1.0
6.324 0.000 0.000
0.000 3.505 0.000
-1.899 0.000 17.308
La Ho Er
2 3 7
Direct
0.058 0.000 0.174
0.942 0.000 0.826
0.454 0.500 0.843
0.500 0.000 0.500
0.546 0.500 0.157
0.000 0.500 0.500
0.230 0.000 0.665
0.257 0.000 0.999
0.276 0.500 0.339
0.724 0.500 0.661
0.743 0.000 0.001
0.770 0.000 0.335
```



No. 2
Compound: ScTc3Ag
Source: the Alexandria database
Functional: PBE
Structure: relaxed

## Properties
ΔE to the lowest computed polymorph   0.000 eV per atom
Formation enthalpy at 0 K   1.8404 eV/atom
SG   Pm-3m, No. 221
Size of the total moment   0.0 μB per cell

```
ScTc3Ag
1.0
4.580 0.000 0.000
0.000 4.580 0.000
0.000 0.000 4.580
Sc Tc Ag
1 3 1
Direct
0.000 0.000 0.000
0.000 0.000 0.500
0.000 0.500 0.000
0.500 0.000 0.000
0.500 0.500 0.500
```



No. 3
Compound: Li4ZrPa3Se8
Source: the Alexandria database
Functional: PBE
Structure: relaxed

## Properties
Energy relative to the elements, uncorrected   -1.2872 eV/atom
SG   R-3m, No. 166
Size of the total moment   4.1 μB per cell

```
Li4ZrPa3Se8
1.0
3.898 2.251 6.765
-3.898 2.251 6.765
0.000 -4.501 6.765
Li Zr Pa Se
4 1 3 8
Direct
0.000 0.000 0.000
0.000 0.500 0.500
0.500 0.000 0.500
0.500 0.500 0.000
0.500 0.500 0.500
0.000 0.000 0.500
0.000 0.500 0.000
0.500 0.000 0.000
0.252 0.252 0.737
0.252 0.737 0.252
0.257 0.257 0.257
0.263 0.748 0.748
0.737 0.252 0.252
0.743 0.743 0.743
0.748 0.263 0.748
0.748 0.748 0.263
```



No. 4
Compound: Nd2IO2
Source: the Alexandria database
Functional: PBE
Structure: relaxed

## Properties
Energy relative to the elements, uncorrected   -2.6512 eV/atom
ΔE to the lowest computed polymorph   0.000 eV per atom
SG   I4/mmm, No. 139
Size of the total moment   0.0 μB per cell

```
Nd2IO2
1.0
-2.108 2.108 6.237
2.108 -2.108 6.237
2.108 2.108 -6.237
Nd I O
2 1 2
Direct
0.163 0.163 0.000
0.837 0.837 0.000
0.500 0.500 0.000
0.250 0.750 0.500
0.750 0.250 0.500
```



No. 5
Compound: Ga2SnPbO6
Source: the Alexandria database
Functional: PBE
Structure: relaxed

## Properties
Energy relative to the elements, uncorrected   -1.5816 eV/atom
SG   C2/c, No. 15
Size of the total moment   0.0 μB per cell

```
Ga2SnPbO6
1.0
5.322 -5.003 0.000
5.322 5.003 0.000
-2.079 0.000 5.828
Ga Sn Pb O
4 2 2 12
Direct
0.126 0.281 0.156
0.281 0.126 0.656
0.719 0.874 0.344
0.874 0.719 0.844
0.218 0.782 0.250
0.782 0.218 0.750
0.390 0.610 0.750
0.610 0.390 0.250
0.100 0.216 0.826
0.134 0.707 0.905
0.216 0.100 0.326
0.245 0.507 0.312
0.293 0.866 0.595
0.493 0.755 0.188
0.507 0.245 0.812
0.707 0.134 0.405
0.755 0.493 0.688
0.784 0.900 0.674
0.866 0.293 0.095
0.900 0.784 0.174
```



No. 6
Compound: Mg3Tl2Hg8
Source: the Alexandria database
Functional: PBE
Structure: relaxed

## Properties
Formation enthalpy at 0 K   -0.0179 eV/atom
SG   C2/m, No. 12
Size of the total moment   0.0 μB per cell

```
Mg3Tl2Hg8
1.0
7.562 -3.948 0.000
7.562 3.948 0.000
-0.940 0.000 5.881
Mg Tl Hg
3 2 8
Direct
0.000 0.000 0.000
0.210 0.790 0.500
0.790 0.210 0.500
0.220 0.220 0.878
0.780 0.780 0.122
0.154 0.154 0.368
0.214 0.592 0.045
0.366 0.366 0.511
0.408 0.786 0.955
0.592 0.214 0.045
0.634 0.634 0.489
0.786 0.408 0.955
0.846 0.846 0.632
```